[1]
# TbDy5Tm

An optimized crystal structure of TbDy5Tm (PBE, Alexandria).

a = 11.631 Å, b = 6.676 Å, c = 12.178 Å
α = 90.00°, β = 110.93°, γ = 90.00°
Space group C2/c (No. 15)
Asymmetric unit:
Tb (0.000, 0.030, 0.250) (multiplicity 4)
Dy (0.000, 0.414, 0.750) (multiplicity 4)
Dy (0.080, 0.262, 0.502) (multiplicity 8)
Dy (0.218, 0.366, 0.243) (multiplicity 8)
Tm (0.250, 0.250, 0.000) (multiplicity 4)

* energy above the lowest structure with this stoichiometry: 0.0 meV/atom
* formation enthalpy at 0 K: 194 meV per atom

[2]
# LiPuScRe

An optimized crystal structure of LiPuScRe (PBE, Alexandria).

a = 6.692 Å, b = 6.692 Å, c = 6.692 Å
α = 90.00°, β = 90.00°, γ = 90.00°
Space group F-43m (No. 216)
Asymmetric unit:
Li (0.000, 0.000, 0.000) (multiplicity 4)
Pu (0.250, 0.250, 0.250) (multiplicity 4)
Sc (0.250, 0.250, 0.750) (multiplicity 4)
Re (0.000, 0.000, 0.500) (multiplicity 4)

* formation enthalpy at 0 K: 81 meV per atom

[3]
# PtWCl2

An optimized crystal structure of PtWCl2 (PBE, Alexandria).

a = 2.926 Å, b = 3.691 Å, c = 6.000 Å
α = 90.00°, β = 90.00°, γ = 90.00°
Space group Pmmm (No. 47)
Asymmetric unit:
Pt (0.000, 0.000, 0.000) (multiplicity 1)
W (0.000, 0.000, 0.500) (multiplicity 1)
Cl (0.500, 0.500, 0.273) (multiplicity 2)

* energy above the lowest structure with this stoichiometry: 1130.6 meV/atom
* E_form (uncorrected): 3.9 eV per formula unit

[4]
# KLa2Al

An optimized crystal structure of KLa2Al (PBE, Alexandria).

a = 9.185 Å, b = 9.185 Å, c = 7.020 Å
α = 90.00°, β = 90.00°, γ = 90.00°
Space group I-42d (No. 122)
Asymmetric unit:
K (0.000, 0.000, 0.000) (multiplicity 4)
La (0.209, 0.250, 0.625) (multiplicity 8)
Al (0.000, 0.000, 0.500) (multiplicity 4)

* formation enthalpy at 0 K: 357 meV per atom

[5]
# CaGd2Ir

An optimized crystal structure of CaGd2Ir (PBE, Alexandria).

a = 4.0661 Å, b = 4.0661 Å, c = 28.5339 Å
α = 90.00°, β = 90.00°, γ = 120.00°
Space group R-3m (No. 166, hexagonal axes)
Asymmetric unit:
Ca (0.0000, 0.0000, 0.0000) (multiplicity 3)
Gd (0.0000, 0.0000, 0.2187) (multiplicity 6)
Ir (0.0000, 0.0000, 0.5000) (multiplicity 3)

* energy above the lowest structure with this stoichiometry: 0.0 meV/atom
* formation enthalpy at 0 K: -403 meV per atom

[6]
# LiVI3

An optimized crystal structure of LiVI3 (PBE, Alexandria).

a = 5.654 Å, b = 5.654 Å, c = 5.654 Å
α = 90.00°, β = 90.00°, γ = 90.00°
Space group Pm-3m (No. 221)
Asymmetric unit:
Li (0.000, 0.000, 0.000) (multiplicity 1)
V (0.500, 0.500, 0.500) (multiplicity 1)
I (0.000, 0.500, 0.500) (multiplicity 3)

* E_form (uncorrected): -1.9 eV per formula unit

Number 1: DOS(E_F) 30.660 states/eV per cell, M_tot 0.0 Bohr magnetons per cell. Number 2: DOS(E_F) 26.137 states/eV per cell, M_tot 18.7 Bohr magnetons per cell. Number 3: DOS(E_F) 3.506 states/eV per cell, M_tot 0.0 Bohr magnetons per cell. Number 4: DOS(E_F) 13.590 states/eV per cell, M_tot 0.0 Bohr magnetons per cell. Number 5: DOS(E_F) 11.166 states/eV per cell, M_tot 43.2 Bohr magnetons per cell. Number 6: DOS(E_F) 2.671 states/eV per cell, M_tot 3.0 Bohr magnetons per cell.